LiTl3In12: optimized geometry, PBE.

Unit cell a=4.5984 b=4.5984 c=20.3998 alpha=90.00 beta=90.00 gamma=90.00
Last column: nearest neighbours and their distance in Å.
Positions (direct):
Li 0.0000 0.0000 0.0000  12 In 3.23-3.25
Tl 0.0000 0.0000 0.2433  12 In 3.26-3.54
Tl 0.0000 0.0000 0.5000  12 In 3.25-3.48
Tl 0.0000 0.0000 0.7567  12 In 3.26-3.54
In 0.0000 0.5000 0.1111  8 In 3.23-3.43, 2 Li 3.23, 2 Tl 3.54
In 0.0000 0.5000 0.3722  8 In 3.25-3.61, 4 Tl 3.48-3.49
In 0.0000 0.5000 0.6278  8 In 3.25-3.61, 4 Tl 3.48-3.49
In 0.0000 0.5000 0.8889  8 In 3.23-3.43, 2 Li 3.23, 2 Tl 3.54
In 0.5000 0.0000 0.1111  8 In 3.23-3.43, 2 Li 3.23, 2 Tl 3.54
In 0.5000 0.0000 0.3722  8 In 3.25-3.61, 4 Tl 3.48-3.49
In 0.5000 0.0000 0.6278  8 In 3.25-3.61, 4 Tl 3.48-3.49
In 0.5000 0.0000 0.8889  8 In 3.23-3.43, 2 Li 3.23, 2 Tl 3.54
In 0.5000 0.5000 0.0000  8 In 3.23, 4 Li 3.25
In 0.5000 0.5000 0.2357  4 Tl 3.26, 8 In 3.43-3.61
In 0.5000 0.5000 0.5000  4 Tl 3.25, 8 In 3.48
In 0.5000 0.5000 0.7643  4 Tl 3.26, 8 In 3.43-3.61

Summary:
Symmetry: No. 123
Energy of formation: -10 meV/atom


Ca2PbO: optimized geometry, PBE.

Unit cell a=5.1935 b=5.1935 c=5.1935 alpha=60.00 beta=60.00 gamma=60.00
Last column: nearest neighbours and their distance in Å.
Positions (direct):
Ca 0.2500 0.2500 0.2500  4 O 3.18, 4 Pb 3.18
Ca 0.7500 0.7500 0.7500  4 O 3.18, 4 Pb 3.18
Pb 0.0000 0.0000 0.0000  8 Ca 3.18
O 0.5000 0.5000 0.5000  8 Ca 3.18

Summary:
Formation energy (no corrections): -0.52 eV/atom
Offset from the most stable computed form: 4.38 eV per formula unit
Symmetry: No. 225


| no. | mass density (g/cm3) | final energy (Ha/atom) |
| --- | --- | --- |
| 1 | 7.7 | -0.0965 |
| 2 | 5.1 | -0.1355 |